[1]
Compound: Sc2NbGe
Source: Alexandria
Functional: PBE
Structure: relaxed

## Properties
The value obtained for the formation energy is 162 meV/atom.

Lattice parameters (Å, degrees): 7.737 7.737 5.534 90.00 90.00 90.00
Fractional positions:
Sc: 0.221 0.250 0.125
Sc: 0.250 0.721 0.375
Sc: 0.250 0.779 0.875
Sc: 0.279 0.250 0.625
Sc: 0.721 0.750 0.625
Sc: 0.750 0.221 0.875
Sc: 0.750 0.279 0.375
Sc: 0.779 0.750 0.125
Nb: 0.000 0.000 0.500
Nb: 0.000 0.500 0.750
Nb: 0.500 0.000 0.250
Nb: 0.500 0.500 0.000
Ge: 0.000 0.000 0.000
Ge: 0.000 0.500 0.250
Ge: 0.500 0.000 0.750
Ge: 0.500 0.500 0.500

[2]
Compound: VCoNiIr
Source: Alexandria
Functional: PBE
Structure: relaxed

## Properties
The value obtained for the formation energy is -133 meV/atom.

Lattice parameters (Å, degrees): 5.840 5.840 5.840 90.00 90.00 90.00
Fractional positions:
V: 0.000 0.000 0.000
V: 0.000 0.500 0.500
V: 0.500 0.000 0.500
V: 0.500 0.500 0.000
Co: 0.250 0.250 0.250
Co: 0.250 0.750 0.750
Co: 0.750 0.250 0.750
Co: 0.750 0.750 0.250
Ni: 0.000 0.000 0.500
Ni: 0.000 0.500 0.000
Ni: 0.500 0.000 0.000
Ni: 0.500 0.500 0.500
Ir: 0.250 0.250 0.750
Ir: 0.250 0.750 0.250
Ir: 0.750 0.250 0.250
Ir: 0.750 0.750 0.750

[3]
Compound: NaYZr
Source: Alexandria
Functional: PBE
Structure: relaxed

## Properties
The value obtained for the formation energy is 168 meV/atom.

Lattice parameters (Å, degrees): 3.341 5.220 10.400 90.00 97.62 90.00
Fractional positions:
Na: 0.192 0.250 0.410
Na: 0.808 0.750 0.590
Y: 0.411 0.250 0.790
Y: 0.589 0.750 0.210
Zr: 0.022 0.250 0.059
Zr: 0.978 0.750 0.941

[4]
Compound: FeHg2As
Source: Alexandria
Functional: PBE
Structure: relaxed

## Properties
The value obtained for the formation energy is 246 meV/atom.

Lattice parameters (Å, degrees): 10.194 10.194 4.359 90.00 90.00 90.00
Fractional positions:
Fe: 0.000 0.250 0.375
Fe: 0.000 0.750 0.625
Fe: 0.500 0.250 0.125
Fe: 0.500 0.750 0.875
Hg: 0.000 0.000 0.500
Hg: 0.000 0.500 0.500
Hg: 0.250 0.250 0.250
Hg: 0.250 0.750 0.750
Hg: 0.500 0.000 0.000
Hg: 0.500 0.500 0.000
Hg: 0.750 0.250 0.250
Hg: 0.750 0.750 0.750
As: 0.000 0.250 0.875
As: 0.000 0.750 0.125
As: 0.500 0.250 0.625
As: 0.500 0.750 0.375

[5]
Compound: Na5SrLi2
Source: Alexandria
Functional: PBE
Structure: relaxed

## Properties
The value obtained for the formation energy is 75 meV/atom.

Lattice parameters (Å, degrees): 5.124 9.687 11.569 90.00 90.00 90.00
Fractional positions:
Na: 0.000 0.000 0.000
Na: 0.000 0.315 0.343
Na: 0.000 0.315 0.657
Na: 0.000 0.685 0.343
Na: 0.000 0.685 0.657
Na: 0.500 0.185 0.157
Na: 0.500 0.185 0.843
Na: 0.500 0.500 0.500
Na: 0.500 0.815 0.157
Na: 0.500 0.815 0.843
Sr: 0.000 0.500 0.000
Sr: 0.500 0.000 0.500
Li: 0.000 0.000 0.275
Li: 0.000 0.000 0.725
Li: 0.500 0.500 0.225
Li: 0.500 0.500 0.775

[6]
Compound: MgCoAs2
Source: Alexandria
Functional: PBE
Structure: relaxed

## Properties
The value obtained for the formation energy is -228 meV/atom.

Lattice parameters (Å, degrees): 6.187 3.582 6.592 90.00 108.31 90.00
Fractional positions:
Mg: 0.000 0.000 0.000
Mg: 0.500 0.500 0.000
Co: 0.000 0.500 0.500
Co: 0.500 0.000 0.500
As: 0.231 0.000 0.693
As: 0.269 0.500 0.307
As: 0.731 0.500 0.693
As: 0.769 0.000 0.307

[7]
Compound: PmLuAgAu
Source: Alexandria
Functional: PBE
Structure: relaxed

## Properties
The value obtained for the formation energy is -559 meV/atom.

Lattice parameters (Å, degrees): 7.259 7.259 7.259 90.00 90.00 90.00
Fractional positions:
Pm: 0.000 0.000 0.000
Pm: 0.000 0.500 0.500
Pm: 0.500 0.000 0.500
Pm: 0.500 0.500 0.000
Lu: 0.000 0.000 0.500
Lu: 0.000 0.500 0.000
Lu: 0.500 0.000 0.000
Lu: 0.500 0.500 0.500
Ag: 0.250 0.250 0.750
Ag: 0.250 0.750 0.250
Ag: 0.750 0.250 0.250
Ag: 0.750 0.750 0.750
Au: 0.250 0.250 0.250
Au: 0.250 0.750 0.750
Au: 0.750 0.250 0.750
Au: 0.750 0.750 0.250

[8]
Compound: SnB3Os
Source: Alexandria
Functional: PBE
Structure: relaxed

## Properties
The value obtained for the formation energy is 951 meV/atom.

Lattice parameters (Å, degrees): 4.191 4.191 4.191 90.00 90.00 90.00
Fractional positions:
Sn: 0.000 0.000 0.000
B: 0.000 0.500 0.500
B: 0.500 0.000 0.500
B: 0.500 0.500 0.000
Os: 0.500 0.500 0.500

[9]
Compound: BaPAuS2
Source: Alexandria
Functional: PBE
Structure: relaxed

## Properties
For the final energy, the calculation gives -13.57 eV for the cell shown.

Lattice parameters (Å, degrees): 5.961 5.961 6.359 90.00 90.00 90.00
Fractional positions:
Ba: 0.000 0.000 0.000
P: 0.000 0.000 0.500
Au: 0.500 0.500 0.500
S: 0.000 0.500 0.000
S: 0.500 0.000 0.000

[10]
Compound: Tb6Y8Tl
Source: Alexandria
Functional: PBE
Structure: relaxed

## Properties
The value obtained for the formation energy is 214 meV/atom.

Lattice parameters (Å, degrees): 9.203 9.203 6.787 90.00 90.00 120.00
Fractional positions:
Tb: 0.076 0.680 0.105
Tb: 0.320 0.396 0.105
Tb: 0.396 0.076 0.895
Tb: 0.604 0.924 0.105
Tb: 0.680 0.604 0.895
Tb: 0.924 0.320 0.895
Y: 0.016 0.326 0.385
Y: 0.310 0.984 0.385
Y: 0.326 0.310 0.615
Y: 0.333 0.667 0.687
Y: 0.667 0.333 0.313
Y: 0.674 0.690 0.385
Y: 0.690 0.016 0.615
Y: 0.984 0.674 0.615
Tl: 0.000 0.000 0.000

[11]
Compound: Y2Tm8Sc
Source: Alexandria
Functional: PBE
Structure: relaxed

## Properties
The value obtained for the formation energy is 182 meV/atom.

Lattice parameters (Å, degrees): 9.116 9.116 5.779 105.87 105.87 121.99
Fractional positions:
Y: 0.192 0.808 0.000
Y: 0.808 0.192 0.000
Tm: 0.073 0.073 0.297
Tm: 0.165 0.400 0.818
Tm: 0.299 0.701 0.500
Tm: 0.400 0.165 0.818
Tm: 0.600 0.835 0.182
Tm: 0.701 0.299 0.500
Tm: 0.835 0.600 0.182
Tm: 0.927 0.927 0.703
Sc: 0.500 0.500 0.500

[12]
Compound: ZrGa2Co3
Source: Alexandria
Functional: PBE
Structure: relaxed

## Properties
The value obtained for the formation energy is -365 meV/atom.

Lattice parameters (Å, degrees): 4.218 4.218 10.386 90.00 90.00 120.00
Fractional positions:
Zr: 0.333 0.667 0.172
Zr: 0.667 0.333 0.828
Ga: 0.000 0.000 0.000
Ga: 0.000 0.000 0.500
Ga: 0.333 0.667 0.665
Ga: 0.667 0.333 0.335
Co: 0.000 0.000 0.266
Co: 0.000 0.000 0.734
Co: 0.333 0.667 0.425
Co: 0.333 0.667 0.917
Co: 0.667 0.333 0.083
Co: 0.667 0.333 0.575

Calculated values (Bohr magnetons per cell) of spin magnetization for the records, taken in order: 0.00, 3.66, 0.00, 3.01, 0.00, 0.00, 0.00, 0.00, 4.11, 0.00, 0.00, 2.10.
Calculated values (states/eV/f.u.) of DOS(E_F) for the records, taken in order: 3.7, 4.2, 2.5, 1.9, 4.6, 1.9, 3.5, 3.2, 6.6, 21.5, 16.7, 3.6.